Record 1
Li8Cu2Ge, relaxed, DFT PBE; total moment = 0.0 Bohr magnetons per cell; symmetry = No. 12; total energy = -2.649 eV per atom; Fermi-level density of states = 4.4 states/eV per cell
1.0
4.1029 -5.3138 0.0000
4.1029 5.3138 0.0000
-0.0123 0.0000 4.1030
Li Cu Ge
8 2 1
direct
0.1717 0.1717 0.9991
0.2014 0.4627 0.4990
0.2485 0.7515 0.0000
0.4627 0.2014 0.4990
0.5373 0.7986 0.5010
0.7515 0.2485 0.0000
0.7986 0.5373 0.5010
0.8283 0.8283 0.0009
0.1114 0.8886 0.5000
0.8886 0.1114 0.5000
0.5000 0.5000 0.0000

***

Record 2
LiCu6Ge2, relaxed, DFT PBE; total moment = 0.0 Bohr magnetons per cell; symmetry = No. 12; total energy = -3.982 eV per atom; Fermi-level density of states = 3.3 states/eV per cell
1.0
5.6278 -1.3646 0.0000
5.6278 1.3646 0.0000
-1.8011 0.0000 7.5792
Li Cu Ge
1 6 2
direct
0.0000 0.0000 0.0000
0.0021 0.0021 0.6676
0.3333 0.3333 0.1100
0.3356 0.3356 0.4438
0.6644 0.6644 0.5562
0.6667 0.6667 0.8900
0.9979 0.9979 0.3324
0.3313 0.3313 0.7732
0.6687 0.6687 0.2268

***

Record 3
Li2CuGe2, relaxed, DFT PBE; total moment = 0.0 Bohr magnetons per cell; offset from the most stable computed form = 0.290 eV/f.u.; symmetry = No. 12; total energy = -3.594 eV per atom; Fermi-level density of states = 1.5 states/eV per cell
1.0
3.7211 -2.1206 0.0000
3.7211 2.1206 0.0000
-2.6136 0.0000 4.6959
Li Cu Ge
2 1 2
direct
0.2020 0.2020 0.1005
0.7980 0.7980 0.8995
0.0000 0.0000 0.5000
0.4020 0.4020 0.7106
0.5980 0.5980 0.2894

***

Record 4
Li2Cu3Ge, relaxed, DFT PBE; total moment = 0.0 Bohr magnetons per cell; symmetry = No. 166; total energy = -3.635 eV per atom; Fermi-level density of states = 2.0 states/eV per cell
1.0
2.5071 1.4475 3.9310
-2.5071 1.4475 3.9310
0.0000 -2.8950 3.9310
Li Cu Ge
2 3 1
direct
0.1264 0.1264 0.1264
0.8736 0.8736 0.8736
0.0000 0.5000 0.5000
0.5000 0.0000 0.5000
0.5000 0.5000 0.0000
0.5000 0.5000 0.5000

***

Record 5
Li2CuGe3, relaxed, DFT PBE; total moment = 0.0 Bohr magnetons per cell; symmetry = No. 164; total energy = -3.536 eV per atom; Fermi-level density of states = 6.2 states/eV per cell
1.0
5.7633 0.0000 0.0000
-2.8816 4.9911 0.0000
0.0000 0.0000 7.2683
Li Cu Ge
4 2 6
direct
0.0000 0.0000 0.0000
0.0000 0.0000 0.5000
0.3333 0.6667 0.0734
0.6667 0.3333 0.9266
0.3333 0.6667 0.4456
0.6667 0.3333 0.5544
0.1815 0.3631 0.7381
0.1815 0.8185 0.7381
0.3631 0.1815 0.2619
0.6369 0.8185 0.7381
0.8185 0.1815 0.2619
0.8185 0.6369 0.2619

***

Record 6
LiCu6Ge4, relaxed, DFT PBE; total moment = 0.0 Bohr magnetons per cell; symmetry = No. 121; total energy = -4.029 eV per atom; Fermi-level density of states = 2.8 states/eV per cell
1.0
-3.0934 3.0934 4.5258
3.0934 -3.0934 4.5258
3.0934 3.0934 -4.5258
Li Cu Ge
1 6 4
direct
0.0000 0.0000 0.0000
0.0000 0.5000 0.5000
0.2444 0.5572 0.0000
0.4428 0.4428 0.6871
0.5000 0.0000 0.5000
0.5572 0.2444 0.0000
0.7556 0.7556 0.3129
0.1047 0.1047 0.5391
0.4343 0.8953 0.0000
0.5657 0.5657 0.4609
0.8953 0.4343 0.0000

***

Record 7
Li3Cu5Ge2, relaxed, DFT PBE; total moment = 0.0 Bohr magnetons per cell; symmetry = No. 72; total energy = -3.573 eV per atom; Fermi-level density of states = 5.8 states/eV per cell
1.0
-4.9069 6.2746 2.3885
4.9069 -6.2746 2.3885
4.9069 6.2746 -2.3885
Li Cu Ge
6 10 4
direct
0.1913 0.5767 0.7681
0.2500 0.2500 0.0000
0.3087 0.0767 0.3854
0.6913 0.9233 0.6146
0.7500 0.7500 0.0000
0.8087 0.4233 0.2319
0.1691 0.2865 0.4556
0.2500 0.5052 0.2552
0.2500 0.7500 0.5000
0.2500 0.9948 0.7448
0.3309 0.7865 0.1173
0.6691 0.2135 0.8827
0.7500 0.0052 0.2552
0.7500 0.2500 0.5000
0.7500 0.4948 0.7448
0.8309 0.7135 0.5444
0.1534 0.8545 0.0079
0.3466 0.3545 0.7011
0.6534 0.6455 0.2989
0.8466 0.1455 0.9921

***

Record 8
Li6CuGe2, relaxed, DFT PBE; total moment = 0.0 Bohr magnetons per cell; symmetry = No. 12; total energy = -2.961 eV per atom; Fermi-level density of states = 2.0 states/eV per cell
1.0
6.5832 -3.8117 0.0000
6.5832 3.8117 0.0000
-0.0833 0.0000 2.6215
Li Cu Ge
6 1 2
direct
0.1674 0.4998 0.0202
0.1673 0.8327 0.0000
0.4998 0.1674 0.0202
0.5002 0.8326 0.9798
0.8327 0.1673 0.0000
0.8326 0.5002 0.9798
0.5000 0.5000 0.5000
0.1664 0.1664 0.5003
0.8336 0.8336 0.4997

***

Record 9
Li2Cu2Ge, relaxed, DFT PBE; total moment = 0.0 Bohr magnetons per cell; offset from the most stable computed form = 0.000 eV/f.u.; symmetry = No. 15; total energy = -3.541 eV per atom; Fermi-level density of states = 2.7 states/eV per cell
1.0
4.5004 -2.0716 0.0000
4.5004 2.0716 0.0000
-1.9078 0.0000 7.0043
Li Cu Ge
4 4 2
direct
0.0523 0.5538 0.8507
0.4462 0.9477 0.6493
0.5538 0.0523 0.3507
0.9477 0.4462 0.1493
0.1527 0.6514 0.5507
0.3486 0.8473 0.9493
0.6514 0.1527 0.0507
0.8473 0.3486 0.4493
0.2495 0.7505 0.2500
0.7505 0.2495 0.7500

***

Record 10
Li2Cu6Ge, relaxed, DFT PBE; total moment = 0.0 Bohr magnetons per cell; offset from the most stable computed form = 0.590 eV/f.u.; symmetry = No. 12; total energy = -3.691 eV per atom; Fermi-level density of states = 1.2 states/eV per cell
1.0
4.3955 -2.5351 0.0000
4.3955 2.5351 0.0000
-0.0135 0.0000 5.6742
Li Cu Ge
2 6 1
direct
0.1670 0.1670 0.1191
0.8330 0.8330 0.8809
0.1526 0.6745 0.3290
0.3255 0.8474 0.6710
0.3256 0.3256 0.6698
0.6744 0.6744 0.3302
0.6745 0.1526 0.3290
0.8474 0.3255 0.6710
0.5000 0.5000 0.0000

***

Record 11
Li4CuGe, relaxed, DFT PBE; total moment = 0.0 Bohr magnetons per cell; offset from the most stable computed form = 0.534 eV/f.u.; symmetry = No. 12; total energy = -2.872 eV per atom; Fermi-level density of states = 4.4 states/eV per cell
1.0
6.8195 -3.2254 0.0000
6.8195 3.2254 0.0000
-1.5918 0.0000 4.4110
Li Cu Ge
8 2 2
direct
0.0959 0.6206 0.3584
0.1760 0.8240 0.0000
0.3162 0.3162 0.8166
0.3794 0.9041 0.6416
0.6206 0.0959 0.3584
0.6838 0.6838 0.1834
0.8240 0.1760 0.0000
0.9041 0.3794 0.6416
0.4999 0.4999 0.2540
0.5001 0.5001 0.7460
0.1896 0.1896 0.1916
0.8104 0.8104 0.8084

***

Record 12
Li2Cu2Ge3, relaxed, DFT PBE; total moment = 0.0 Bohr magnetons per cell; offset from the most stable computed form = 0.154 eV/f.u.; symmetry = No. 12; total energy = -3.805 eV per atom; Fermi-level density of states = 2.5 states/eV per cell
1.0
4.7904 -2.0116 0.0000
4.7904 2.0116 0.0000
-2.8792 0.0000 5.9391
Li Cu Ge
2 2 3
direct
0.1648 0.1648 0.3037
0.8352 0.8352 0.6963
0.1218 0.1218 0.7125
0.8782 0.8782 0.2875
0.3787 0.3787 0.0383
0.5000 0.5000 0.5000
0.6213 0.6213 0.9617

***

Record 13
LiCu8Ge4, relaxed, DFT PBE; total moment = 0.0 Bohr magnetons per cell; symmetry = No. 25; total energy = -3.989 eV per atom; Fermi-level density of states = 3.7 states/eV per cell
1.0
3.4792 0.0000 0.0000
0.0000 3.7489 0.0000
0.0000 0.0000 14.5161
Li Cu Ge
1 8 4
direct
0.0000 0.0000 0.0000
0.0000 0.0000 0.1765
0.0000 0.0000 0.4393
0.0000 0.5000 0.5777
0.0000 0.5000 0.8597
0.5000 0.0000 0.3062
0.5000 0.0000 0.8567
0.5000 0.5000 0.4360
0.5000 0.5000 0.7169
0.0000 0.0000 0.7320
0.0000 0.5000 0.2997
0.5000 0.0000 0.5671
0.5000 0.5000 0.1229

***

Record 14
Li2Cu2Ge, relaxed, DFT PBE; total moment = 0.0 Bohr magnetons per cell; offset from the most stable computed form = 0.739 eV/f.u.; symmetry = No. 127; total energy = -3.393 eV per atom; Fermi-level density of states = 4.2 states/eV per cell
1.0
6.4867 0.0000 0.0000
0.0000 6.4867 0.0000
0.0000 0.0000 3.3476
Li Cu Ge
4 4 2
direct
0.1655 0.3345 0.0000
0.3345 0.8345 0.0000
0.6655 0.1655 0.0000
0.8345 0.6655 0.0000
0.1359 0.6359 0.5000
0.3641 0.1359 0.5000
0.6359 0.8641 0.5000
0.8641 0.3641 0.5000
0.0000 0.0000 0.5000
0.5000 0.5000 0.5000

***

Record 15
Li2Cu6Ge, relaxed, DFT PBE; total moment = 0.0 Bohr magnetons per cell; offset from the most stable computed form = 0.000 eV/f.u.; symmetry = No. 12; total energy = -3.757 eV per atom; Fermi-level density of states = 4.2 states/eV per cell
1.0
3.5984 -2.0517 0.0000
3.5984 2.0517 0.0000
-0.1681 0.0000 7.5465
Li Cu Ge
2 6 1
direct
0.1672 0.1672 0.2217
0.8328 0.8328 0.7783
0.1663 0.1663 0.5515
0.1667 0.1667 0.8852
0.5003 0.5003 0.3366
0.4997 0.4997 0.6634
0.8333 0.8333 0.1148
0.8337 0.8337 0.4485
0.5000 0.5000 0.0000

***

Record 16
Li2Cu2Ge, relaxed, DFT PBE; total moment = 0.0 Bohr magnetons per cell; offset from the most stable computed form = 2.054 eV/f.u.; symmetry = No. 139; total energy = -3.130 eV per atom; Fermi-level density of states = 1.6 states/eV per cell
1.0
-1.7735 1.7735 6.0697
1.7735 -1.7735 6.0697
1.7735 1.7735 -6.0697
Li Cu Ge
2 2 1
direct
0.2500 0.7500 0.5000
0.7500 0.2500 0.5000
0.0969 0.0969 0.0000
0.9031 0.9031 0.0000
0.5000 0.5000 0.0000

***

Record 17
Li2Cu2Ge, relaxed, DFT PBE; total moment = 0.0 Bohr magnetons per cell; offset from the most stable computed form = 0.283 eV/f.u.; symmetry = No. 11; total energy = -3.484 eV per atom; Fermi-level density of states = 2.7 states/eV per cell
1.0
5.1038 0.0000 0.0000
0.0000 4.2437 0.0000
-1.8319 0.0000 6.8963
Li Cu Ge
4 4 2
direct
0.0823 0.2500 0.3951
0.1043 0.2500 0.8770
0.8957 0.7500 0.1230
0.9177 0.7500 0.6049
0.3801 0.7500 0.0585
0.3914 0.7500 0.4002
0.6086 0.2500 0.5998
0.6199 0.2500 0.9415
0.4680 0.7500 0.7462
0.5320 0.2500 0.2538

***

Record 18
LiCu6Ge, relaxed, DFT PBE; total moment = 0.0 Bohr magnetons per cell; offset from the most stable computed form = 0.000 eV/f.u.; symmetry = No. 139; total energy = -3.946 eV per atom; Fermi-level density of states = 2.6 states/eV per cell
1.0
-1.8842 1.8842 6.9783
1.8842 -1.8842 6.9783
1.8842 1.8842 -6.9783
Li Cu Ge
1 6 1
direct
0.0000 0.0000 0.0000
0.1266 0.6266 0.5000
0.2489 0.2489 0.0000
0.3734 0.8734 0.5000
0.6266 0.1266 0.5000
0.7511 0.7511 0.0000
0.8734 0.3734 0.5000
0.5000 0.5000 0.0000

***

Record 19
Li2Cu5Ge4, relaxed, DFT PBE; total moment = 0.0 Bohr magnetons per cell; symmetry = No. 69; total energy = -3.930 eV per atom; Fermi-level density of states = 4.5 states/eV per cell
1.0
0.0000 4.4522 8.0450
2.5068 0.0000 8.0450
2.5068 4.4522 0.0000
Li Cu Ge
2 5 4
direct
0.0986 0.0986 0.9014
0.9014 0.9014 0.0986
0.0000 0.0000 0.5000
0.2500 0.2500 0.2500
0.5000 0.5000 0.0000
0.5000 0.5000 0.5000
0.7500 0.7500 0.7500
0.2140 0.5293 0.4707
0.4707 0.7860 0.2140
0.5293 0.2140 0.7860
0.7860 0.4707 0.5293

***

Record 20
LiCuGe3, relaxed, DFT PBE; total moment = 0.0 Bohr magnetons per cell; offset from the most stable computed form = 0.000 eV/f.u.; symmetry = No. 221; total energy = -3.635 eV per atom; Fermi-level density of states = 1.8 states/eV per cell
1.0
4.7519 0.0000 0.0000
0.0000 4.7519 0.0000
0.0000 0.0000 4.7519
Li Cu Ge
1 1 3
direct
0.0000 0.0000 0.0000
0.5000 0.5000 0.5000
0.0000 0.5000 0.5000
0.5000 0.0000 0.5000
0.5000 0.5000 0.0000